Material: CrFeCuF6
Method: DFT, PBE+U
State: optimized geometry

abc: 5.341 5.341 9.194
angles: 90.00 90.00 120.00
Sites, in units of the cell vectors:
Cr 0.333 0.667 0.250
Cr 0.667 0.333 0.750
Fe 0.333 0.667 0.750
Fe 0.667 0.333 0.250
Cu 0.000 0.000 0.000
Cu 0.000 0.000 0.500
F 0.020 0.359 0.134
F 0.020 0.661 0.366
F 0.339 0.359 0.366
F 0.339 0.980 0.134
F 0.359 0.020 0.634
F 0.359 0.339 0.866
F 0.641 0.661 0.134
F 0.641 0.980 0.366
F 0.661 0.020 0.866
F 0.661 0.641 0.634
F 0.980 0.339 0.634
F 0.980 0.641 0.866

Properties
space-group type = P-31c
density = 4.2 g cm⁻³
crystal system = trigonal
electronic total energy = -0.1927 Ha/atom